Record 1
# Sm2MgTe

A relaxed Sm2MgTe crystal (GGA-PBE, Alexandria via LeMat-Bulk).

Unit cell a=7.386 b=3.995 c=8.783 alpha=90.00 beta=96.98 gamma=90.00
Space group P2 (No. 3)
Asymmetric unit:
Sm: 0.207 0.000 0.207 (multiplicity 2)
Sm: 0.288 0.497 0.752 (multiplicity 2)
Mg: 0.000 0.997 0.500 (multiplicity 1)
Mg: 0.500 0.995 0.500 (multiplicity 1)
Te: 0.000 0.500 0.000 (multiplicity 1)
Te: 0.500 0.998 0.000 (multiplicity 1)

Computed properties:
The energy relative to the lowest polymorph listed for this composition is 115 meV/atom. Its crystal system is monoclinic.



Record 2
# Sm3MgTe4

A relaxed Sm3MgTe4 crystal (GGA-PBE, Alexandria via LeMat-Bulk).

Unit cell a=4.3113 b=4.3113 c=44.9252 alpha=90.00 beta=90.00 gamma=120.00
Space group R-3m (No. 166, hexagonal axes)
Asymmetric unit:
Sm: 0.0000 0.0000 0.0000 (multiplicity 3)
Sm: 0.0000 0.0000 0.2501 (multiplicity 6)
Mg: 0.0000 0.0000 0.5000 (multiplicity 3)
Te: 0.0000 0.0000 0.1286 (multiplicity 6)
Te: 0.0000 0.0000 0.3754 (multiplicity 6)

Computed properties:
The energy relative to the lowest polymorph listed for this composition is 0 meV/atom. Its crystal system is trigonal.



Record 3
# Sm2MgTe3

A relaxed Sm2MgTe3 crystal (GGA-PBE, Alexandria via LeMat-Bulk).

Unit cell a=7.8726 b=7.8726 c=21.0659 alpha=90.00 beta=90.00 gamma=120.00
Space group R-3c (No. 167, hexagonal axes)
Asymmetric unit:
Sm: 0.0000 0.0000 0.1647 (multiplicity 12)
Mg: 0.0000 0.0000 0.0000 (multiplicity 6)
Te: 0.0000 0.3344 0.2500 (multiplicity 18)

Computed properties:
Its crystal system is trigonal. The calculation puts the total energy at -4.542 eV/atom.



Record 4
# Sm2MgTe

A relaxed Sm2MgTe crystal (GGA-PBE, Alexandria via LeMat-Bulk).

Unit cell a=3.996 b=3.996 c=7.040 alpha=90.00 beta=90.00 gamma=90.00
Space group P4/mmm (No. 123)
Asymmetric unit:
Sm: 0.000 0.000 0.248 (multiplicity 2)
Mg: 0.500 0.500 0.500 (multiplicity 1)
Te: 0.500 0.500 0.000 (multiplicity 1)

Computed properties:
The energy relative to the lowest polymorph listed for this composition is 0 meV/atom. Its crystal system is tetragonal.



Record 5
# Sm2MgTe4

A relaxed Sm2MgTe4 crystal (GGA-PBE, Alexandria via LeMat-Bulk).

Unit cell a=16.014 b=4.391 c=7.722 alpha=90.00 beta=118.46 gamma=90.00
Space group C2/m (No. 12)
Asymmetric unit:
Sm: 0.237 0.000 0.225 (multiplicity 4)
Mg: 0.000 0.500 0.500 (multiplicity 2)
Te: 0.114 0.500 0.932 (multiplicity 4)
Te: 0.125 0.000 0.472 (multiplicity 4)

Computed properties:
Its crystal system is monoclinic. The calculation puts the total energy at -4.614 eV/atom.



Record 6
# Sm3MgTe4

A relaxed Sm3MgTe4 crystal (GGA-PBE, Alexandria via LeMat-Bulk).

Unit cell a=9.031 b=12.489 c=4.296 alpha=90.00 beta=90.00 gamma=90.00
Space group Cmmm (No. 65)
Asymmetric unit:
Sm: 0.000 0.000 0.000 (multiplicity 2)
Sm: 0.250 0.250 0.500 (multiplicity 4)
Mg: 0.000 0.500 0.000 (multiplicity 2)
Te: 0.000 0.259 0.000 (multiplicity 4)
Te: 0.234 0.500 0.500 (multiplicity 4)

Computed properties:
The energy relative to the lowest polymorph listed for this composition is 26 meV/atom. Its crystal system is orthorhombic.



Record 7
# SmMgTe

A relaxed SmMgTe crystal (GGA-PBE, Alexandria via LeMat-Bulk).

Unit cell a=5.1635 b=5.1635 c=24.9294 alpha=90.00 beta=90.00 gamma=120.00
Space group R-3m (No. 166, hexagonal axes)
Asymmetric unit:
Sm: 0.0000 0.0000 0.0786 (multiplicity 6)
Mg: 0.0000 0.0000 0.3317 (multiplicity 6)
Te: 0.0000 0.0000 0.2142 (multiplicity 6)

Computed properties:
Its crystal system is trigonal. The calculation puts the total energy at -3.883 eV/atom.



Record 8
# Sm4MgTe3

A relaxed Sm4MgTe3 crystal (GGA-PBE, Alexandria via LeMat-Bulk).

Unit cell a=9.150 b=12.577 c=4.328 alpha=90.00 beta=90.00 gamma=90.00
Space group Cmmm (No. 65)
Asymmetric unit:
Sm: 0.000 0.249 0.000 (multiplicity 4)
Sm: 0.246 0.000 0.500 (multiplicity 4)
Mg: 0.000 0.500 0.000 (multiplicity 2)
Te: 0.000 0.000 0.000 (multiplicity 2)
Te: 0.250 0.250 0.500 (multiplicity 4)

Computed properties:
Its crystal system is orthorhombic. The calculation puts the total energy at -4.727 eV/atom.



Record 9
# Sm5MgTe2

A relaxed Sm5MgTe2 crystal (GGA-PBE, Alexandria via LeMat-Bulk).

Unit cell a=5.982 b=12.662 c=13.763 alpha=90.00 beta=90.00 gamma=90.00
Space group Cmcm (No. 63)
Asymmetric unit:
Sm: 0.000 0.060 0.112 (multiplicity 8)
Sm: 0.000 0.378 0.044 (multiplicity 8)
Sm: 0.000 0.388 0.750 (multiplicity 4)
Mg: 0.000 0.279 0.250 (multiplicity 4)
Te: 0.000 0.185 0.601 (multiplicity 8)

Computed properties:
Its crystal system is orthorhombic. The calculation puts the total energy at -4.383 eV/atom.



Record 10
# Sm2MgTe

A relaxed Sm2MgTe crystal (GGA-PBE, Alexandria via LeMat-Bulk).

Unit cell a=3.9988 b=3.9988 c=32.0186 alpha=90.00 beta=90.00 gamma=120.00
Space group R-3m (No. 166, hexagonal axes)
Asymmetric unit:
Sm: 0.0000 0.0000 0.1044 (multiplicity 6)
Mg: 0.0000 0.0000 0.0000 (multiplicity 3)
Te: 0.0000 0.0000 0.5000 (multiplicity 3)

Computed properties:
The energy relative to the lowest polymorph listed for this composition is 418 meV/atom. Its crystal system is trigonal.



Record 11
# Sm2ThMg

A relaxed Sm2ThMg crystal (GGA-PBE, Alexandria via LeMat-Bulk).

Unit cell a=3.627 b=3.627 c=9.336 alpha=90.00 beta=90.00 gamma=90.00
Space group P4/mmm (No. 123)
Asymmetric unit:
Sm: 0.000 0.000 0.241 (multiplicity 2)
Th: 0.500 0.500 0.500 (multiplicity 1)
Mg: 0.500 0.500 0.000 (multiplicity 1)

Computed properties:
The energy relative to the lowest polymorph listed for this composition is 0 meV/atom. Its crystal system is tetragonal. The value obtained for the formation energy is -0.05 eV/atom.



Record 12
# SmThMg2

A relaxed SmThMg2 crystal (GGA-PBE, Alexandria via LeMat-Bulk).

Unit cell a=3.3918 b=3.3918 c=34.8283 alpha=90.00 beta=90.00 gamma=120.00
Space group R-3m (No. 166, hexagonal axes)
Asymmetric unit:
Sm: 0.0000 0.0000 0.0000 (multiplicity 3)
Th: 0.0000 0.0000 0.5000 (multiplicity 3)
Mg: 0.0000 0.0000 0.2508 (multiplicity 6)

Computed properties:
The energy relative to the lowest polymorph listed for this composition is 88 meV/atom. Its crystal system is trigonal. The value obtained for the formation energy is 0.08 eV/atom.